# Ba2CoC2O6F2, relaxed, DFT PBE+U
# ρ: 4.513 Mg/m³
# Electronic total energy: -6.94 eV per atom
data_Ba2CoC2O6F2
_chemical_formula_sum 'Ba8 Co4 C8 O24 F8'
_cell_length_a 6.8986
_cell_length_b 11.7152
_cell_length_c 8.9520
_cell_angle_alpha 90.00
_cell_angle_beta 90.00
_cell_angle_gamma 90.00
_symmetry_space_group_name_H-M 'P b c a'
_symmetry_Int_Tables_number 61
loop_
_symmetry_equiv_pos_as_xyz
'x,y,z'
'-x,-y,-z'
'-x+1/2,-y,z+1/2'
'x+1/2,y,-z+1/2'
'x+1/2,-y+1/2,-z'
'-x+1/2,y+1/2,z'
'-x,y+1/2,-z+1/2'
'x,-y+1/2,z+1/2'
loop_
_atom_site_label
_atom_site_type_symbol
_atom_site_fract_x
_atom_site_fract_y
_atom_site_fract_z
_atom_site_occupancy
Ba1 Ba 0.0212 0.1783 0.1070 1
Co1 Co 0.0000 0.0000 0.5000 1
C1 C 0.2400 0.5905 0.7358 1
O1 O 0.1543 0.5037 0.7960 1
O2 O 0.2006 0.1765 0.8131 1
O3 O 0.2337 0.0908 0.5898 1
F1 F 0.0957 0.6542 0.0957 1